! MnP2PtO | Alexandria | GGA+U | relaxed; values from VASP
&SYSTEM
  ibrav = 0, nat = 5, ntyp = 4
/
ATOMIC_SPECIES
Mn 54.94 Mn.upf
P 30.97 P.upf
Pt 195.08 Pt.upf
O 16.00 O.upf
ATOMIC_POSITIONS crystal
Mn 0.000 0.000 0.000
P 0.000 0.500 0.000
P 0.500 0.000 0.000
Pt 0.500 0.500 0.500
O 0.000 0.000 0.500
CELL_PARAMETERS angstrom
4.580 0.000 0.000
0.000 4.580 0.000
0.000 0.000 3.369
! relative energy among the computed polymorphs	69.2	meV per atom
! N(E_F)	0.7512	states/eV per atom
! E	-5.3818	eV/atom
! symmetry	No. 123